The following is a PBE with a Hubbard U calculation of an optimized crystal structure of CoP3O9, from Alexandria.

SG: Pbcm, No. 57
Calculated volume, Å³/cell: 786.5
ΔE to the lowest computed polymorph, meV/atom: 0
Final energy, eV per atom: -6.966

Cell lengths 5.1109, 11.9107, 12.9202 Å; angles 90.00, 90.00, 90.00 degrees
Site moments in Bohr magnetons follow the coordinates.
Atoms (fractional coordinates):
Co  0.0000  0.0000  0.5000  3.19
Co  0.0000  0.5000  0.0000  3.19
Co  0.0000  0.0000  0.0000  3.19
Co  0.0000  0.5000  0.5000  3.19
P  0.7580  0.2500  0.0000  0.01
P  0.2420  0.7500  0.0000  0.01
P  0.2420  0.7500  0.5000  0.01
P  0.4938  0.0823  0.8686  0.01
P  0.7580  0.2500  0.5000  0.01
P  0.5062  0.5823  0.6314  0.01
P  0.4938  0.4177  0.1314  0.01
P  0.4938  0.0823  0.6314  0.01
P  0.5062  0.9177  0.1314  0.01
P  0.4938  0.4177  0.3686  0.01
P  0.5062  0.9177  0.3686  0.01
P  0.5062  0.5823  0.8686  0.01
O  0.4415  0.7053  0.5866  0.01
O  0.0899  0.8457  0.9536  0.11
O  0.4438  0.6060  0.7500  0.03
O  0.4415  0.7947  0.0866  0.01
O  0.5585  0.2053  0.5866  0.01
O  0.2048  0.4395  0.1190  0.12
O  0.6804  0.5046  0.0902  0.09
O  0.4438  0.8940  0.2500  0.03
O  0.6804  0.9954  0.5902  0.09
O  0.7952  0.9395  0.1190  0.12
O  0.7952  0.9395  0.3810  0.12
O  0.3196  0.4954  0.5902  0.09
O  0.2048  0.0605  0.8810  0.12
O  0.5562  0.3940  0.2500  0.03
O  0.5585  0.2053  0.9134  0.01
O  0.6804  0.5046  0.4098  0.09
O  0.7952  0.5605  0.6190  0.12
O  0.4415  0.7053  0.9134  0.01
O  0.0899  0.6543  0.0464  0.11
O  0.3196  0.0046  0.0902  0.09
O  0.3196  0.4954  0.9098  0.09
O  0.0899  0.6543  0.4536  0.11
O  0.6804  0.9954  0.9098  0.09
O  0.9101  0.3457  0.9536  0.11
O  0.4415  0.7947  0.4134  0.01
O  0.2048  0.0605  0.6190  0.12
O  0.3196  0.0046  0.4098  0.09
O  0.0899  0.8457  0.5464  0.11
O  0.5562  0.1060  0.7500  0.03
O  0.9101  0.1543  0.0464  0.11
O  0.5585  0.2947  0.4134  0.01
O  0.9101  0.1543  0.4536  0.11
O  0.5585  0.2947  0.0866  0.01
O  0.2048  0.4395  0.3810  0.12
O  0.7952  0.5605  0.8810  0.12
O  0.9101  0.3457  0.5464  0.11